[1]
Below is a geometry-optimized Mg2AlSe structure, with properties calculated at the PBE level.

Raw formation energy (kJ/mol of formula units): -8
Polymorph energy (0 for the lowest one) (eV per atom): 0.3766
Fermi-level density of states (states/eV/cell): 11.30

a = 6.9654 Å, b = 6.9654 Å, c = 6.9654 Å
α = 90.00°, β = 90.00°, γ = 90.00°
Closest atoms and distances in Å follow each position.
Space group Fm-3m (No. 225)
Unique sites:
Mg 0.2500 0.2500 0.2500 [8 per cell]  4 Se 3.02, 4 Al 3.02
Al 0.0000 0.0000 0.0000 [4 per cell]  8 Mg 3.02
Se 0.0000 0.0000 0.5000 [4 per cell]  8 Mg 3.02

---

[2]
Below is a geometry-optimized HfNpSnRh structure, with properties calculated at the PBE level.

Energy (eV/atom): -8.46
Fermi-level density of states (states/eV/cell): 41.45

a = 6.9483 Å, b = 6.9483 Å, c = 6.9483 Å
α = 90.00°, β = 90.00°, γ = 90.00°
Closest atoms and distances in Å follow each position.
Space group F-43m (No. 216)
Unique sites:
Hf 0.0000 0.0000 0.0000 [4 per cell]  4 Np 3.01, 4 Rh 3.01
Np 0.2500 0.2500 0.2500 [4 per cell]  4 Hf 3.01, 4 Sn 3.01
Sn 0.0000 0.0000 0.5000 [4 per cell]  4 Np 3.01, 4 Rh 3.01
Rh 0.2500 0.2500 0.7500 [4 per cell]  4 Hf 3.01, 4 Sn 3.01

---

[3]
Below is a geometry-optimized NbNi2Pt4 structure, with properties calculated at the PBE level.

Polymorph energy (0 for the lowest one) (eV per atom): 0.0000
Fermi-level density of states (states/eV/cell): 15.77

a = 6.2905 Å, b = 6.2905 Å, c = 5.6549 Å
α = 90.00°, β = 90.00°, γ = 90.00°
Closest atoms and distances in Å follow each position.
Space group I4/mmm (No. 139)
Unique sites:
Nb 0.0000 0.0000 0.0000 [2 per cell]  8 Pt 2.64
Ni 0.0000 0.5000 0.0000 [4 per cell]  8 Pt 2.64, 2 Ni 2.83
Pt 0.2500 0.2500 0.2500 [8 per cell]  2 Nb 2.64, 4 Ni 2.64, 2 Pt 2.83

---

[4]
Below is a geometry-optimized Cs2YGeBr6 structure, with properties calculated at the PBE level.

Raw formation energy (kJ/mol of formula units): -1376
Fermi-level density of states (states/eV/cell): 0.00

a = 7.9569 Å, b = 7.9569 Å, c = 12.9216 Å
α = 90.00°, β = 90.00°, γ = 90.00°
Closest atoms and distances in Å follow each position.
Space group I4/mmm (No. 139)
Unique sites:
Cs 0.0000 0.5000 0.2500 [4 per cell]  12 Br 4.00-4.28
Y 0.0000 0.0000 0.0000 [2 per cell]  6 Br 2.79-2.81
Ge 0.0000 0.0000 0.5000 [2 per cell]  4 Br 2.82
Br 0.0000 0.0000 0.2162 [4 per cell]  1 Y 2.79
Br 0.2495 0.2495 0.0000 [8 per cell]  1 Y 2.81, 1 Ge 2.82